# 1
# NaCo3O6

A crystal of NaCo3O6 relaxed with PBEsol (SCAN, Alexandria via LeMat-Bulk).

## Properties
VASP energy in eV for the cell shown: -107.7
SG: No. 12

POSCAR file:
```
NaCo3O6
1.0
4.8224 0.0000 -0.0220
2.4112 4.1731 -0.0110
1.6168 0.0000 5.5623
Co O Na
3 6 1
direct
0.3349 0.3302 0.5000 Co
0.9981 0.0039 0.5000 Co
0.6664 0.6671 0.5000 Co
0.7258 0.9977 0.3286 O
0.2765 0.9977 0.6714 O
0.9468 0.6670 0.6682 O
0.3862 0.6670 0.3318 O
0.0563 0.3365 0.3287 O
0.6072 0.3365 0.6713 O
0.1665 0.6671 0.0000 Na
```


# 2
# LaRh2W

A crystal of LaRh2W relaxed with PBEsol (SCAN, Alexandria via LeMat-Bulk).

## Properties
ΔH_f (0 K) in eV per atom: 0.456
SG: No. 160

POSCAR file:
```
LaRh2W
1.0
-1.9971 0.7471 1.9032
-0.5017 -1.6606 2.2714
5.8388 4.6144 6.4614
Rh La W
2 1 1
direct
0.0077 0.0077 0.9769 Rh
0.7506 0.7506 0.7481 Rh
0.2545 0.2545 0.2364 La
0.4872 0.4872 0.5385 W
```


# 3
# CsErNb6Br18

A crystal of CsErNb6Br18 relaxed with PBEsol (SCAN, Alexandria via LeMat-Bulk).

## Properties
VASP energy in eV for the cell shown: -1340.2
SG: No. 163

POSCAR file:
```
CsErNb6Br18
1.0
9.6569 0.0000 0.0000
-4.8284 8.3631 0.0000
0.0000 0.0000 18.0035
Br Nb Er Cs
36 12 2 2
direct
0.5503 0.6336 0.6619 Br
0.5503 0.9167 0.8381 Br
0.2805 0.4226 0.4994 Br
0.0458 0.2352 0.3377 Br
0.0833 0.4497 0.6619 Br
0.0458 0.8107 0.1623 Br
0.5774 0.8579 0.4994 Br
0.9167 0.5503 0.3381 Br
0.1421 0.7195 0.4994 Br
0.9542 0.1893 0.8377 Br
0.8579 0.5774 0.9994 Br
0.6336 0.0833 0.3381 Br
0.8107 0.0458 0.6623 Br
0.9542 0.7648 0.6623 Br
0.2352 0.0458 0.8377 Br
0.9167 0.3664 0.1619 Br
0.3664 0.9167 0.6619 Br
0.8107 0.7648 0.8377 Br
0.8579 0.2805 0.5006 Br
0.7648 0.8107 0.3377 Br
0.6336 0.5503 0.1619 Br
0.4226 0.1421 0.5006 Br
0.7648 0.9542 0.1623 Br
0.5774 0.7195 0.0006 Br
0.7195 0.1421 0.9994 Br
0.2805 0.8579 0.0006 Br
0.4226 0.2805 0.9994 Br
0.0833 0.6336 0.8381 Br
0.1421 0.4226 0.0006 Br
0.1893 0.2352 0.1623 Br
0.4497 0.0833 0.1619 Br
0.4497 0.3664 0.3381 Br
0.2352 0.1893 0.6623 Br
0.1893 0.9542 0.3377 Br
0.3664 0.4497 0.8381 Br
0.7195 0.5774 0.5006 Br
0.8087 0.8472 0.5663 Nb
0.1528 0.9615 0.5663 Nb
0.8472 0.8087 0.0663 Nb
0.0385 0.1913 0.5663 Nb
0.9615 0.1528 0.0663 Nb
0.0385 0.8472 0.9337 Nb
0.1913 0.0385 0.0663 Nb
0.8087 0.9615 0.9337 Nb
0.8472 0.0385 0.4337 Nb
0.1528 0.1913 0.9337 Nb
0.9615 0.8087 0.4337 Nb
0.1913 0.1528 0.4337 Nb
0.6667 0.3333 0.2500 Er
0.3333 0.6667 0.7500 Er
0.6667 0.3333 0.7500 Cs
0.3333 0.6667 0.2500 Cs
```


# 4
# CaCrW2

A crystal of CaCrW2 relaxed with PBEsol (SCAN, Alexandria via LeMat-Bulk).

## Properties
ΔH_f (0 K) in eV per atom: 0.925
SG: No. 65

POSCAR file:
```
CaCrW2
1.0
-0.5073 -2.4951 -0.6212
3.5916 -1.6191 3.5704
-5.1933 0.6657 1.5673
Ca W Cr
1 2 1
direct
0.5000 0.0000 0.0000 Ca
0.0000 0.5000 0.5000 W
0.0000 0.0000 0.5000 W
0.5000 0.5000 0.0000 Cr
```


# 5
# Pt2PbCl

A crystal of Pt2PbCl relaxed with PBEsol (SCAN, Alexandria via LeMat-Bulk).

## Properties
VASP energy in eV for the cell shown: -222.6
SG: No. 216

POSCAR file:
```
Pt2PbCl
1.0
-3.3089 -1.4029 3.0550
-1.1232 -4.5697 0.3266
1.2214 -2.4607 3.8345
Cl Pb Pt
1 1 2
direct
0.5000 0.5000 0.5000 Cl
0.7500 0.7500 0.7500 Pb
0.2500 0.2500 0.2500 Pt
0.0000 0.0000 0.0000 Pt
```


# 6
# Sc2AsCl

A crystal of Sc2AsCl relaxed with PBEsol (SCAN, Alexandria via LeMat-Bulk).

## Properties
VASP energy in eV for the cell shown: -57.8
SG: No. 216

POSCAR file:
```
Sc2AsCl
1.0
4.7980 0.0000 0.0000
2.3990 4.1552 0.0000
2.3990 1.3851 3.9176
Sc Cl As
2 1 1
direct
0.0000 0.0000 0.0000 Sc
0.7500 0.7500 0.7500 Sc
0.2500 0.2500 0.2500 Cl
0.5000 0.5000 0.5000 As
```


# 7
# Mg2CdAs

A crystal of Mg2CdAs relaxed with PBEsol (SCAN, Alexandria via LeMat-Bulk).

## Properties
ΔH_f (0 K) in eV per atom: -0.171
SG: No. 25

POSCAR file:
```
Mg2CdAs
1.0
3.1949 0.0000 0.0000
0.0000 5.0006 0.0000
0.0000 0.0000 5.0099
Mg Cd As
2 1 1
direct
0.0000 0.5000 0.6467 Mg
0.0000 0.0000 0.1041 Mg
0.5000 0.5000 0.1467 Cd
0.5000 0.0000 0.6024 As
```


# 8
# BaYMn3

A crystal of BaYMn3 relaxed with PBEsol (SCAN, Alexandria via LeMat-Bulk).

## Properties
ΔH_f (0 K) in eV per atom: 0.741
SG: No. 221

POSCAR file:
```
BaYMn3
1.0
5.1962 0.0000 0.0000
0.0000 5.1962 0.0000
0.0000 0.0000 5.1962
Y Mn Ba
1 3 1
direct
0.0000 0.0000 0.0000 Y
0.0000 0.0000 0.5000 Mn
0.5000 0.0000 0.0000 Mn
0.0000 0.5000 0.0000 Mn
0.5000 0.5000 0.5000 Ba
```


# 9
# SrTcP2

A crystal of SrTcP2 relaxed with PBEsol (SCAN, Alexandria via LeMat-Bulk).

## Properties
ΔH_f (0 K) in eV per atom: -0.635
SG: No. 166

POSCAR file:
```
SrTcP2
1.0
4.0767 0.0000 0.0000
2.0383 3.5305 0.0000
2.0383 1.1768 5.1746
P Tc Sr
2 1 1
direct
0.2922 0.2922 0.1235 P
0.7078 0.7078 0.8765 P
0.0000 0.0000 0.0000 Tc
0.5000 0.5000 0.5000 Sr
```


# 10
# MgRe4Si

A crystal of MgRe4Si relaxed with PBEsol (SCAN, Alexandria via LeMat-Bulk).

## Properties
VASP energy in eV for the cell shown: -296.5
SG: No. 216

POSCAR file:
```
MgRe4Si
1.0
-3.9071 3.1280 -1.2059
-4.7102 -0.9304 1.8582
-2.0135 3.1023 3.5813
Re Mg Si
4 1 1
direct
0.6249 0.6249 0.1252 Re
0.6249 0.6249 0.6249 Re
0.1252 0.6249 0.6249 Re
0.6249 0.1252 0.6249 Re
0.0000 0.0000 0.0000 Mg
0.2500 0.2500 0.2500 Si
```


# 11
# Sr2HPd

A crystal of Sr2HPd relaxed with PBEsol (SCAN, Alexandria via LeMat-Bulk).

## Properties
VASP energy in eV for the cell shown: -164.4
SG: No. 122

POSCAR file:
```
Sr2HPd
1.0
6.3482 0.0320 0.0518
-2.3944 5.8794 -0.0518
-2.3944 -2.6765 5.2352
Sr H Pd
4 2 2
direct
0.9389 0.5639 0.1250 Sr
0.5611 0.3750 0.4361 Sr
0.0611 0.1861 0.6250 Sr
0.4389 0.8750 0.8139 Sr
0.0000 0.5000 0.5000 H
0.5000 0.2500 0.7500 H
0.0000 0.0000 0.0000 Pd
0.5000 0.7500 0.2500 Pd
```


# 12
# LiAlZn

A crystal of LiAlZn relaxed with PBEsol (SCAN, Alexandria via LeMat-Bulk).

## Properties
ΔH_f (0 K) in eV per atom: 0.007
SG: No. 216

POSCAR file:
```
LiAlZn
1.0
-1.7516 3.3345 -1.8867
-0.9302 -0.1508 -4.1060
-4.0218 -0.1555 -1.2443
Zn Li Al
1 1 1
direct
0.2500 0.2500 0.2500 Zn
0.5000 0.5000 0.5000 Li
0.0000 0.0000 0.0000 Al
```